No. 1
The following is a GGA-PBE calculation of a relaxed Ca2LaAu9 crystal, from Alexandria.

As for the total DFT energy (no corrections): -3.7535 eV per atom. The energy of formation is -0.55 eV/atom. As for the crystal system: trigonal. As for the volume: 778.7 Å³/cell. The value obtained for the magnetization is 0.0 μB per formula unit.

The space group is R-3m (No. 166, hexagonal axes) and the conventional cell measures 5.6239, 5.6239 and 28.4271 Å, with angles of 90.00, 90.00 and 120.00 degrees. The inequivalent atoms are Ca at (0.0000, 0.0000, 0.1428), La at (0.0000, 0.0000, 0.0000), Au at (0.0000, 0.0000, 0.3326), Au at (0.0000, 0.0000, 0.5000) and Au at (0.0026, 0.5013, 0.9146).



No. 2
The following is a GGA-PBE calculation of a relaxed HfCrCd2Bi crystal, from Alexandria.

As for the total DFT energy (no corrections): -3.7352 eV per atom. The energy of formation is 1.32 eV/atom. As for the crystal system: tetragonal. As for the volume: 169.9 Å³/cell. The value obtained for the magnetization is 4.6 μB per formula unit.

The space group is P4/mmm (No. 123) and the conventional cell measures 5.5365, 5.5365 and 5.5428 Å, with angles of 90.00, 90.00 and 90.00 degrees. The inequivalent atoms are Hf at (0.0000, 0.0000, 0.0000), Cr at (0.5000, 0.5000, 0.0000), Cd at (0.0000, 0.5000, 0.5000) and Bi at (0.0000, 0.0000, 0.5000).